First-principles (PBE) data for a relaxed structure of Sc8As3CSe4, as listed in Alexandria via LeMat-Bulk.

Structure (POSCAR):
```
Sc8As3CSe4
1.0
3.805 2.197 6.288
-3.805 2.197 6.288
0.000 -4.394 6.288
Sc As C Se
8 3 1 4
Cartesian
0.000 0.000 4.637
-1.725 -0.996 10.798
0.000 -1.992 8.066
-1.725 0.996 8.066
1.725 -0.996 10.798
0.000 1.992 10.798
1.725 0.996 8.066
0.000 0.000 14.226
-3.805 0.000 9.432
-1.903 1.099 3.144
1.903 1.099 3.144
0.000 0.000 9.432
0.000 0.000 0.000
-1.903 -1.099 6.288
-1.903 1.099 12.576
0.000 2.197 6.288
```

The value obtained for the raw formation energy is -1.426 eV/atom. Its space group is No. 166.

=====

First-principles (PBE) data for a relaxed structure of Sc8As3CSe3, as listed in Alexandria via LeMat-Bulk.

Structure (POSCAR):
```
Sc8As3CSe3
1.0
3.834 2.214 6.244
-3.834 2.214 6.244
0.000 -4.428 6.244
Sc As C Se
8 3 1 3
Cartesian
-2.210 -1.276 11.117
0.000 -2.552 7.615
-2.210 1.276 7.615
0.000 0.000 4.580
0.000 0.000 14.151
2.210 -1.276 11.117
0.000 2.552 11.117
2.210 1.276 7.615
-3.834 0.000 9.366
-1.917 1.107 3.122
1.917 1.107 3.122
0.000 0.000 0.000
-1.917 -1.107 6.244
-1.917 1.107 12.488
0.000 2.214 6.244
```

The value obtained for the raw formation energy is -1.288 eV/atom. Its space group is No. 166.

=====

First-principles (PBE) data for a relaxed structure of ScAsCSe2, as listed in Alexandria via LeMat-Bulk.

Structure (POSCAR):
```
ScAsCSe2
1.0
5.086 0.000 0.000
0.000 5.086 0.000
0.000 0.000 5.213
Sc As C Se
1 1 1 2
Cartesian
0.000 0.000 0.000
0.000 0.000 2.606
2.543 2.543 2.606
0.000 2.543 0.000
2.543 0.000 0.000
```

The value obtained for the raw formation energy is 1.273 eV/atom. Its space group is No. 123.

=====

First-principles (PBE) data for a relaxed structure of ScAsCSe2, as listed in Alexandria via LeMat-Bulk.

Structure (POSCAR):
```
ScAsCSe2
1.0
4.452 0.000 0.000
0.000 4.452 0.000
0.000 0.000 4.386
Sc As C Se
1 1 1 2
Cartesian
0.000 0.000 0.000
2.226 2.226 0.000
2.226 2.226 2.193
0.000 2.226 2.193
2.226 0.000 2.193
```

The value obtained for the raw formation energy is 0.439 eV/atom. Its space group is No. 123.

=====

First-principles (PBE) data for a relaxed structure of ScTl2AsC, as listed in Alexandria via LeMat-Bulk.

Structure (POSCAR):
```
ScTl2AsC
1.0
4.715 0.000 0.000
0.000 4.715 0.000
0.000 0.000 4.869
Sc Tl As C
1 2 1 1
Cartesian
0.000 0.000 0.000
0.000 2.358 2.435
2.358 0.000 2.435
2.358 2.358 0.000
2.358 2.358 2.435
```

As for the formation energy: 893 meV/atom. Its space group is No. 123.

=====

First-principles (PBE) data for a relaxed structure of YSc2AsC, as listed in Alexandria via LeMat-Bulk.

Structure (POSCAR):
```
YSc2AsC
1.0
4.455 0.000 0.000
0.000 4.455 0.000
0.000 0.000 4.830
Y Sc As C
1 2 1 1
Cartesian
0.000 0.000 0.000
0.000 2.228 2.415
2.228 0.000 2.415
2.228 2.228 0.000
0.000 0.000 2.415
```

As for the formation energy: -694 meV/atom. Its space group is No. 123.

=====

First-principles (PBE) data for a relaxed structure of As3CSe, as listed in Alexandria via LeMat-Bulk.

Structure (POSCAR):
```
As3CSe
1.0
5.008 0.000 0.000
0.000 5.008 0.000
0.000 0.000 5.008
As C Se
3 1 1
Cartesian
0.000 0.000 2.504
0.000 2.504 0.000
2.504 0.000 0.000
2.504 2.504 2.504
0.000 0.000 0.000
```

The value obtained for the raw formation energy is 2.210 eV/atom. Its space group is No. 221.

=====

First-principles (PBE) data for a relaxed structure of As3CSe, as listed in Alexandria via LeMat-Bulk.

Structure (POSCAR):
```
As3CSe
1.0
4.433 0.000 0.000
0.000 4.433 0.000
0.000 0.000 4.433
As C Se
3 1 1
Cartesian
0.000 0.000 2.217
0.000 2.217 0.000
2.217 0.000 0.000
0.000 0.000 0.000
2.217 2.217 2.217
```

The value obtained for the raw formation energy is 1.106 eV/atom. Its space group is No. 221.

=====

First-principles (PBE) data for a relaxed structure of AsCSe3, as listed in Alexandria via LeMat-Bulk.

Structure (POSCAR):
```
AsCSe3
1.0
4.434 0.000 0.000
0.000 4.434 0.000
0.000 0.000 4.434
As C Se
1 1 3
Cartesian
0.000 0.000 0.000
2.217 2.217 2.217
0.000 2.217 2.217
2.217 0.000 2.217
2.217 2.217 0.000
```

The value obtained for the raw formation energy is 1.105 eV/atom. Its space group is No. 221.

=====

First-principles (PBE) data for a relaxed structure of As2CSe, as listed in Alexandria via LeMat-Bulk.

Structure (POSCAR):
```
As2CSe
1.0
6.404 0.000 0.000
0.000 6.404 0.000
0.000 0.000 6.404
As C Se
8 4 4
Cartesian
1.601 1.601 1.601
1.601 1.601 4.803
1.601 4.803 1.601
1.601 4.803 4.803
4.803 1.601 1.601
4.803 1.601 4.803
4.803 4.803 1.601
4.803 4.803 4.803
0.000 0.000 0.000
0.000 3.202 3.202
3.202 0.000 3.202
3.202 3.202 0.000
0.000 0.000 3.202
0.000 3.202 0.000
3.202 0.000 0.000
3.202 3.202 3.202
```

The value obtained for the raw formation energy is 1.590 eV/atom. Its space group is No. 225.

=====

First-principles (PBE) data for a relaxed structure of As2CSe, as listed in Alexandria via LeMat-Bulk.

Structure (POSCAR):
```
As2CSe
1.0
6.098 0.000 0.000
0.000 6.098 0.000
0.000 0.000 7.951
As C Se
8 4 4
Cartesian
1.017 1.524 0.994
1.524 4.066 2.982
1.524 5.080 6.957
2.031 1.524 4.970
4.066 4.573 4.970
4.573 1.017 6.957
4.573 2.031 2.982
5.080 4.573 0.994
0.000 0.000 0.000
0.000 3.049 1.988
3.049 0.000 5.963
3.049 3.049 3.976
0.000 0.000 3.976
0.000 3.049 5.963
3.049 0.000 1.988
3.049 3.049 0.000
```

The value obtained for the raw formation energy is 0.797 eV/atom. Its space group is No. 122.

=====

First-principles (PBE) data for a relaxed structure of AsCSe3, as listed in Alexandria via LeMat-Bulk.

Structure (POSCAR):
```
AsCSe3
1.0
5.034 0.000 0.000
0.000 5.034 0.000
0.000 0.000 5.034
As C Se
1 1 3
Cartesian
0.000 0.000 0.000
2.517 2.517 2.517
0.000 0.000 2.517
0.000 2.517 0.000
2.517 0.000 0.000
```

The value obtained for the raw formation energy is 1.870 eV/atom. Its space group is No. 221.

=====

First-principles (PBE) data for a relaxed structure of SiAsCSe2, as listed in Alexandria via LeMat-Bulk.

Structure (POSCAR):
```
SiAsCSe2
1.0
4.775 0.000 0.000
0.000 4.775 0.000
0.000 0.000 4.794
Si As C Se
1 1 1 2
Cartesian
0.000 0.000 0.000
0.000 0.000 2.397
2.387 2.387 2.397
0.000 2.387 0.000
2.387 0.000 0.000
```

The value obtained for the raw formation energy is 1.779 eV/atom. Its space group is No. 123.

=====

First-principles (PBE) data for a relaxed structure of SiAsCSe2, as listed in Alexandria via LeMat-Bulk.

Structure (POSCAR):
```
SiAsCSe2
1.0
4.416 0.000 0.000
0.000 4.416 0.000
0.000 0.000 4.375
Si As C Se
1 1 1 2
Cartesian
0.000 0.000 0.000
2.208 2.208 0.000
2.208 2.208 2.187
0.000 2.208 2.187
2.208 0.000 2.187
```

The value obtained for the raw formation energy is 1.188 eV/atom. Its space group is No. 123.

=====

First-principles (PBE) data for a relaxed structure of Sm4AsCSe2, as listed in Alexandria via LeMat-Bulk.

Structure (POSCAR):
```
Sm4AsCSe2
1.0
7.073 0.000 0.000
0.000 4.029 0.000
-2.312 0.000 6.787
Sm As C Se
4 1 1 2
Cartesian
1.058 0.000 1.462
-0.138 2.015 5.264
4.899 2.015 1.523
3.702 0.000 5.324
3.536 0.000 0.000
0.000 2.015 0.000
-1.156 0.000 3.393
2.380 2.015 3.393
```

The value obtained for the raw formation energy is -1.375 eV/atom. Its space group is No. 10.

=====

First-principles (PBE) data for a relaxed structure of Sm6As2CSe3, as listed in Alexandria via LeMat-Bulk.

Structure (POSCAR):
```
Sm6As2CSe3
1.0
9.051 -2.039 0.000
9.051 2.039 0.000
-2.016 0.000 8.107
Sm As C Se
6 2 1 3
Cartesian
-0.425 0.000 1.729
16.510 0.000 6.379
5.186 0.000 3.416
4.522 0.000 7.478
11.562 0.000 0.629
10.899 0.000 4.691
2.333 0.000 2.694
13.751 0.000 5.414
9.051 0.000 0.000
1.389 0.000 6.781
8.042 0.000 4.054
14.696 0.000 1.326
```

The value obtained for the raw formation energy is -1.502 eV/atom. Its space group is No. 12.

=====

First-principles (PBE) data for a relaxed structure of SnAsCSe2, as listed in Alexandria via LeMat-Bulk.

Structure (POSCAR):
```
SnAsCSe2
1.0
5.289 0.000 0.000
0.000 5.289 0.000
0.000 0.000 5.366
Sn As C Se
1 1 1 2
Cartesian
0.000 0.000 0.000
0.000 0.000 2.683
2.644 2.644 2.683
0.000 2.644 0.000
2.644 0.000 0.000
```

The value obtained for the raw formation energy is 1.956 eV/atom. Its space group is No. 123.

=====

First-principles (PBE) data for a relaxed structure of SnAsCSe2, as listed in Alexandria via LeMat-Bulk.

Structure (POSCAR):
```
SnAsCSe2
1.0
4.517 0.000 0.000
0.000 4.517 0.000
0.000 0.000 4.576
Sn As C Se
1 1 1 2
Cartesian
0.000 0.000 0.000
2.259 2.259 0.000
2.259 2.259 2.288
0.000 2.259 2.288
2.259 0.000 2.288
```

The value obtained for the raw formation energy is 0.897 eV/atom. Its space group is No. 123.

=====

First-principles (PBE) data for a relaxed structure of SrAsCSe2, as listed in Alexandria via LeMat-Bulk.

Structure (POSCAR):
```
SrAsCSe2
1.0
5.766 0.000 0.000
0.000 5.766 0.000
0.000 0.000 5.945
Sr As C Se
1 1 1 2
Cartesian
0.000 0.000 0.000
0.000 0.000 2.972
2.883 2.883 2.972
0.000 2.883 0.000
2.883 0.000 0.000
```

The value obtained for the raw formation energy is 1.942 eV/atom. Its space group is No. 123.

=====

First-principles (PBE) data for a relaxed structure of SrAsCSe2, as listed in Alexandria via LeMat-Bulk.

Structure (POSCAR):
```
SrAsCSe2
1.0
5.093 0.000 0.000
0.000 5.093 0.000
0.000 0.000 4.090
Sr As C Se
1 1 1 2
Cartesian
0.000 0.000 0.000
2.546 2.546 0.000
2.546 2.546 2.045
0.000 2.546 2.045
2.546 0.000 2.045
```

The value obtained for the raw formation energy is 0.233 eV/atom. Its space group is No. 123.

=====

First-principles (PBE) data for a relaxed structure of Tb6AsC2Se3, as listed in Alexandria via LeMat-Bulk.

Structure (POSCAR):
```
Tb6AsC2Se3
1.0
8.705 -1.948 0.000
8.705 1.948 0.000
-2.087 0.000 7.805
Tb As C Se
6 1 2 3
Cartesian
-0.195 0.000 2.010
4.678 0.000 3.434
3.914 0.000 6.846
11.409 0.000 0.959
10.645 0.000 4.370
15.518 0.000 5.795
8.705 0.000 0.000
2.257 0.000 2.638
13.067 0.000 5.167
1.081 0.000 6.495
7.662 0.000 3.902
14.243 0.000 1.310
```

The value obtained for the raw formation energy is -1.330 eV/atom. Its space group is No. 12.

=====

First-principles (PBE) data for a relaxed structure of Tb4AsCSe2, as listed in Alexandria via LeMat-Bulk.

Structure (POSCAR):
```
Tb4AsCSe2
1.0
6.939 0.000 0.000
0.000 3.948 0.000
-2.267 0.000 6.654
Tb As C Se
4 1 1 2
Cartesian
1.031 0.000 1.421
-0.147 1.974 5.173
4.819 1.974 1.481
3.640 0.000 5.233
3.470 0.000 0.000
0.000 1.974 0.000
-1.134 0.000 3.327
2.336 1.974 3.327
```

The value obtained for the raw formation energy is -1.409 eV/atom. Its space group is No. 10.

=====

First-principles (PBE) data for a relaxed structure of Tb6As2CSe3, as listed in Alexandria via LeMat-Bulk.

Structure (POSCAR):
```
Tb6As2CSe3
1.0
8.884 -1.999 0.000
8.884 1.999 0.000
-1.968 0.000 7.954
Tb As C Se
6 2 1 3
Cartesian
-0.408 0.000 1.682
16.208 0.000 6.273
5.098 0.000 3.356
4.473 0.000 7.343
11.328 0.000 0.612
10.703 0.000 4.598
2.299 0.000 2.640
13.502 0.000 5.314
8.884 0.000 0.000
1.371 0.000 6.653
7.900 0.000 3.977
14.430 0.000 1.301
```

The value obtained for the raw formation energy is -1.522 eV/atom. Its space group is No. 12.

=====

First-principles (PBE) data for a relaxed structure of Tb8As3CSe3, as listed in Alexandria via LeMat-Bulk.

Structure (POSCAR):
```
Tb8As3CSe3
1.0
4.084 2.358 6.633
-4.084 2.358 6.633
0.000 -4.716 6.633
Tb As C Se
8 3 1 3
Cartesian
-2.299 -1.327 11.768
0.000 -2.654 8.130
-2.299 1.327 8.130
0.000 0.000 4.893
0.000 0.000 15.005
2.299 -1.327 11.768
0.000 2.654 11.768
2.299 1.327 8.130
-4.084 0.000 9.949
-2.042 1.179 3.316
2.042 1.179 3.316
0.000 0.000 0.000
-2.042 -1.179 6.633
-2.042 1.179 13.265
0.000 2.358 6.633
```

The value obtained for the raw formation energy is -1.392 eV/atom. Its space group is No. 166.

=====

First-principles (PBE) data for a relaxed structure of TeAs2CSe, as listed in Alexandria via LeMat-Bulk.

Structure (POSCAR):
```
TeAs2CSe
1.0
5.443 0.000 0.000
0.000 5.443 0.000
0.000 0.000 5.320
Te As C Se
1 2 1 1
Cartesian
0.000 0.000 0.000
0.000 2.722 0.000
2.722 0.000 0.000
2.722 2.722 2.660
0.000 0.000 2.660
```

The value obtained for the raw formation energy is 2.241 eV/atom. Its space group is No. 123.